No. 1
This record from Alexandria via LeMat-Bulk describes an optimized crystal structure of AlIn2Te. The functional is PBE.

Cell lengths 3.124, 5.770, 5.942 Å; angles 90.00, 91.55, 90.00 degrees
Fractional positions:
Al 0.000 0.000 0.000
In 0.271 0.500 0.243
In 0.729 0.500 0.757
Te 0.500 0.000 0.500

Computed properties:
VASP energy = -11.86 eV for the cell shown
formation energy without anion corrections = 0.12 eV/atom
offset from the most stable computed form = 166 meV/atom

No. 2
This record from Alexandria via LeMat-Bulk describes an optimized crystal structure of Ba2ScMo. The functional is PBE.

Cell lengths 3.827, 4.652, 7.673 Å; angles 90.00, 90.12, 90.00 degrees
Fractional positions:
Ba 0.001 0.000 0.271
Ba 0.999 0.000 0.729
Sc 0.500 0.500 0.000
Mo 0.500 0.500 0.500

Computed properties:
VASP energy = -16.89 eV for the cell shown
offset from the most stable computed form = 490 meV/atom
energy of formation from the pure elements = 4.12 eV per formula unit

No. 3
This record from Alexandria via LeMat-Bulk describes an optimized crystal structure of ScSnAu. The functional is PBE.

Cell lengths 9.820, 6.354, 4.589 Å; angles 90.00, 117.79, 90.00 degrees
Fractional positions:
Sc 0.000 0.244 0.000
Sc 0.000 0.756 0.000
Sc 0.500 0.256 0.000
Sc 0.500 0.744 0.000
Sn 0.172 0.500 0.672
Sn 0.328 0.000 0.328
Sn 0.672 0.000 0.672
Sn 0.828 0.500 0.328
Au 0.157 0.000 0.659
Au 0.343 0.500 0.341
Au 0.657 0.500 0.659
Au 0.843 0.000 0.341

Computed properties:
VASP energy = -60.99 eV for the cell shown
energy of formation from the pure elements = -1.64 eV per formula unit

No. 4
This record from Alexandria via LeMat-Bulk describes an optimized crystal structure of Ho5TlBi. The functional is PBE.

Cell lengths 6.467, 6.467, 12.906 Å; angles 109.35, 109.35, 60.01 degrees
Fractional positions:
Ho 0.171 0.300 0.718
Ho 0.177 0.674 0.996
Ho 0.179 0.821 0.750
Ho 0.300 0.171 0.218
Ho 0.326 0.823 0.504
Ho 0.674 0.177 0.496
Ho 0.700 0.829 0.782
Ho 0.821 0.179 0.250
Ho 0.823 0.326 0.004
Ho 0.829 0.700 0.282
Tl 0.000 0.500 0.500
Tl 0.500 0.000 0.000
Bi 0.314 0.686 0.250
Bi 0.686 0.314 0.750

Computed properties:
VASP energy = -60.19 eV for the cell shown
energy of formation from the pure elements = -0.96 eV per formula unit